1.
Material: PuNpTe2
Method: DFT, GGA-PBE
State: relaxed

Structure (POSCAR):
```
PuNpTe2
1.0
5.346 0.000 0.000
2.673 4.630 0.000
2.673 1.543 4.365
Pu Te Np
1 2 1
direct
0.000 0.000 0.000
0.750 0.750 0.750
0.250 0.250 0.250
0.500 0.500 0.500
```

total magnetization: 10.9 Bohr magnetons per cell
calculated volume: 27.01 A^3/atom
formation energy (no corrections): -0.759 eV/atom
E: -9.1484 eV/atom

***

2.
Material: PuNp3Tl4Te8
Method: DFT, GGA-PBE
State: relaxed

Structure (POSCAR):
```
PuNp3Tl4Te8
1.0
-5.852 -6.804 0.344
5.501 -4.395 6.642
-2.745 8.376 1.735
Te Np Tl Pu
8 3 4 1
direct
0.239 0.714 0.975
0.738 0.714 0.476
0.265 0.286 0.025
0.262 0.286 0.524
0.761 0.286 0.522
0.761 0.286 0.025
0.239 0.714 0.478
0.735 0.714 0.975
0.500 0.500 0.500
0.000 0.500 0.500
0.500 0.500 0.000
0.500 0.000 0.000
0.500 0.000 0.500
0.000 0.000 0.000
0.000 0.000 0.500
0.000 0.500 0.000
```

total magnetization: 17.0 Bohr magnetons per cell
calculated volume: 35.68 A^3/atom
formation energy (no corrections): -0.624 eV/atom
E: -6.1083 eV/atom

***

3.
Material: Tm2Pu3NpTe6
Method: DFT, GGA-PBE
State: relaxed

Structure (POSCAR):
```
Tm2Pu3NpTe6
1.0
-4.337 2.493 0.593
-3.900 -5.360 -5.993
1.335 -4.638 7.864
Np Te Tm Pu
1 6 2 3
direct
0.500 0.000 0.000
0.085 0.207 0.170
0.776 0.346 0.552
0.224 0.654 0.448
0.638 0.865 0.276
0.915 0.793 0.830
0.362 0.135 0.724
0.935 0.296 0.871
0.065 0.704 0.129
0.366 0.534 0.733
0.500 0.500 0.000
0.634 0.466 0.267
```

total magnetization: 7.5 Bohr magnetons per cell
calculated volume: 31.23 A^3/atom
formation energy (no corrections): -0.586 eV/atom
E: -7.5637 eV/atom

***

Q: formation energy (no corrections) of number 2 (PuNp3Tl4Te8)?
A: -0.624 eV/atom

***

Q: Number 2 is which compound?
A: PuNp3Tl4Te8

***

Q: Which of these has the lowest calculated volume?
A: PuNpTe2